(1)
Computed, not measured: a geometry-optimized DyY2 structure at the PBE-GGA level of DFT.

a b c (Å): 6.2771 6.2771 5.9512
angles (deg): 90.38 90.38 55.69
Fractional positions:
Dy: 0.0871 0.0871 0.2280
Dy: 0.9129 0.9129 0.7720
Y: 0.2484 0.2484 0.7171
Y: 0.4152 0.4152 0.2316
Y: 0.5848 0.5848 0.7684
Y: 0.7516 0.7516 0.2829

Values from the calculation:
Energy above the lowest structure with this stoichiometry (eV/atom): 0.123
Calculated formation energy (eV per atom): 0.12
Total DFT energy (no corrections) (eV/atom): -5.72
Spin magnetization (μB/f.u.): 0.0

(2)
Computed, not measured: a geometry-optimized DyY5 structure at the PBE-GGA level of DFT.

a b c (Å): 7.9800 7.9800 5.0396
angles (deg): 90.00 90.00 143.16
Fractional positions:
Dy: 0.0000 0.0000 0.0000
Y: 0.1663 0.8337 0.5000
Y: 0.3338 0.6662 0.0000
Y: 0.5000 0.5000 0.5000
Y: 0.6662 0.3338 0.0000
Y: 0.8337 0.1663 0.5000

Values from the calculation:
Energy above the lowest structure with this stoichiometry (eV/atom): 0.000
Calculated formation energy (eV per atom): 0.02
Total DFT energy (no corrections) (eV/atom): -6.13
Spin magnetization (μB/f.u.): 0.0

(3)
Computed, not measured: a geometry-optimized DyY2 structure at the PBE-GGA level of DFT.

a b c (Å): 3.5939 3.5939 8.8311
angles (deg): 101.79 101.79 60.04
Fractional positions:
Dy: 0.0000 0.0000 0.0000
Y: 0.2222 0.2222 0.6665
Y: 0.7778 0.7778 0.3335

Values from the calculation:
Energy above the lowest structure with this stoichiometry (eV/atom): 0.000
Calculated formation energy (eV per atom): 0.00
Total DFT energy (no corrections) (eV/atom): -5.84
Spin magnetization (μB/f.u.): 0.0